[1]
# Lu2ZnCo

A relaxed structure of Lu2ZnCo (PBE, OQMD).

Cell: 6.592 6.592 6.592 Å, 90.00 90.00 90.00°
Space group F-43m (No. 216)
Unique sites:
Lu 0.000 0.000 0.000
Lu 0.250 0.250 0.250
Zn 0.000 0.000 0.500
Co 0.250 0.250 0.750

**E_form**: 0.040 eV/atom



[2]
# LuZnCo2

A relaxed structure of LuZnCo2 (PBE, OQMD).

Cell: 6.173 6.173 6.173 Å, 90.00 90.00 90.00°
Space group F-43m (No. 216)
Unique sites:
Lu 0.000 0.000 0.000
Zn 0.250 0.250 0.250
Co 0.000 0.000 0.500
Co 0.250 0.250 0.750

**E_form**: 0.124 eV/atom



[3]
# Lu2Zr2Co

A relaxed structure of Lu2Zr2Co (PBE, OQMD).

Cell: 10.991 4.446 10.590 Å, 90.00 118.66 90.00°
Space group C2/m (No. 12)
Unique sites:
Lu 0.036 0.000 0.363
Lu 0.141 0.500 0.182
Zr 0.136 0.000 0.965
Zr 0.154 0.500 0.606
Co 0.119 0.500 0.826

**E_form**: -0.064 eV/atom



[4]
# LuZr2Co

A relaxed structure of LuZr2Co (PBE, OQMD).

Cell: 6.883 6.883 6.883 Å, 90.00 90.00 90.00°
Space group F-43m (No. 216)
Unique sites:
Lu 0.000 0.000 0.000
Zr 0.000 0.000 0.500
Zr 0.250 0.250 0.750
Co 0.250 0.250 0.250

**E_form**: 0.206 eV/atom



[5]
# Lu2ZrCo

A relaxed structure of Lu2ZrCo (PBE, OQMD).

Cell: 6.933 6.933 6.933 Å, 90.00 90.00 90.00°
Space group F-43m (No. 216)
Unique sites:
Lu 0.000 0.000 0.000
Lu 0.250 0.250 0.250
Zr 0.000 0.000 0.500
Co 0.250 0.250 0.750

**E_form**: 0.255 eV/atom



[6]
# MgCo2

A relaxed structure of MgCo2 (PBE, OQMD).

Cell: 4.7799 4.7799 15.6762 Å, 90.00 90.00 120.00°
Space group P6_3/mmc (No. 194)
Unique sites:
Mg 0.0000 0.0000 0.0931
Mg 0.3333 0.6667 0.1562
Co 0.0000 0.5000 0.0000
Co 0.1621 0.3242 0.7500
Co 0.3333 0.6667 0.6283

**Final energy**: -5.279 eV/atom



[7]
# Mg13Co

A relaxed structure of Mg13Co (PBE, OQMD).

Cell: 12.379 8.686 5.655 Å, 90.00 101.62 90.00°
Space group C2/m (No. 12)
Unique sites:
Mg 0.000 0.000 0.000
Mg 0.076 0.290 0.318
Mg 0.113 0.500 0.917
Mg 0.171 0.171 0.803
Mg 0.215 0.000 0.370
Co 0.000 0.000 0.500

**Final energy**: -1.919 eV/atom



[8]
# MgCo

A relaxed structure of MgCo (PBE, OQMD).

Cell: 4.3499 4.3499 4.9864 Å, 90.00 90.00 120.00°
Space group P6_3/mmc (No. 194)
Unique sites:
Mg 0.3333 0.6667 0.2500
Co 0.3333 0.6667 0.7500

**Final energy**: -3.234 eV/atom